5
Lattice="-1.451 2.134 5.803 1.451 -2.134 5.803 1.451 2.134 -5.803" Properties=species:S:1:pos:R:3 comment="PBE MnNbVGaCu, optimized geometry" crystal_system=orthorhombic total_energy_ev_per_atom=-7.12 polymorph_energy_mev_per_atom=14 mass_density_g_cm3=7.670 pbc="T T T"
Mn 0.000 0.000 0.000
Nb 0.000 0.000 6.828
V 0.000 2.134 4.105
Ga 0.000 0.000 2.436
Cu 1.451 0.000 4.483